[1]
The following is a DFT calculation (GGA-PBEsol) of a relaxed SnHg2Os2 crystal.

a b c (Å): 3.5112 3.5112 17.1529
angles (deg): 90.00 90.00 90.00
Positions (direct):
Sn: 0.0000 0.0000 0.0000
Sn: 0.5000 0.5000 0.5000
Hg: 0.0000 0.0000 0.3866
Hg: 0.0000 0.0000 0.6133
Hg: 0.5000 0.5000 0.1134
Hg: 0.5000 0.5000 0.8866
Os: 0.0000 0.5000 0.2500
Os: 0.0000 0.5000 0.7500
Os: 0.5000 0.0000 0.2500
Os: 0.5000 0.0000 0.7500

* uncorrected energy: -5.151 eV per atom
* ΔE_f: 813.8 meV per atom
* total moment: 0.00 μB/f.u.

=====

[2]
The following is a DFT calculation (GGA-PBEsol) of a relaxed Sn2HgOsW crystal.

a b c (Å): 5.1013 5.1013 5.0794
angles (deg): 90.00 90.00 90.00
Positions (direct):
Sn: 0.0000 0.5000 0.0000
Sn: 0.5000 0.0000 0.0000
Hg: 0.0000 0.0000 0.0000
Os: 0.5000 0.5000 0.5000
W: 0.0000 0.0000 0.5000

* uncorrected energy: -4.368 eV per atom
* ΔE_f: 2654.1 meV per atom
* total moment: 4.28 μB/f.u.

=====

[3]
The following is a DFT calculation (GGA-PBEsol) of a relaxed SrHg2Os crystal.

a b c (Å): 14.2978 3.1732 4.4699
angles (deg): 90.00 108.21 90.00
Positions (direct):
Sr: 0.0000 0.0000 0.0000
Sr: 0.5000 0.5000 0.0000
Hg: 0.1872 0.0000 0.6882
Hg: 0.3583 0.0000 0.3584
Hg: 0.6872 0.5000 0.6882
Hg: 0.8583 0.5000 0.3584
Os: 0.1900 0.5000 0.1911
Os: 0.6900 0.0000 0.1911

* uncorrected energy: -3.446 eV per atom
* ΔE_f: 352.0 meV per atom
* ΔE to the lowest computed polymorph: 0 meV per atom
* total moment: 0.00 μB/f.u.

=====

[4]
The following is a DFT calculation (GGA-PBEsol) of a relaxed SrHg2Os crystal.

a b c (Å): 6.0808 9.8851 3.0073
angles (deg): 90.00 111.45 90.00
Positions (direct):
Sr: 0.0000 0.0000 0.0000
Sr: 0.5000 0.5000 0.0000
Hg: 0.2500 0.2500 0.5000
Hg: 0.2500 0.7500 0.5000
Hg: 0.7500 0.2500 0.5000
Hg: 0.7500 0.7500 0.5000
Os: 0.0000 0.5000 0.0000
Os: 0.5000 0.0000 0.0000

* uncorrected energy: -3.178 eV per atom
* ΔE_f: 619.8 meV per atom
* ΔE to the lowest computed polymorph: 268 meV per atom
* total moment: 0.00 μB/f.u.

=====

[5]
The following is a DFT calculation (GGA-PBEsol) of a relaxed SrHg2Os crystal.

a b c (Å): 3.5646 3.5753 7.2479
angles (deg): 90.00 90.00 90.00
Positions (direct):
Sr: 0.0000 0.0000 0.0000
Hg: 0.0000 0.0000 0.5700
Hg: 0.5000 0.5000 0.3141
Os: 0.5000 0.5000 0.7067

* uncorrected energy: -3.359 eV per atom
* ΔE_f: 438.0 meV per atom
* ΔE to the lowest computed polymorph: 86 meV per atom
* total moment: 0.00 μB/f.u.

=====

[6]
The following is a DFT calculation (GGA-PBEsol) of a relaxed Ta3HgOs crystal.

a b c (Å): 4.8397 4.8397 4.8397
angles (deg): 90.00 90.00 90.00
Positions (direct):
Ta: 0.0000 0.0000 0.5000
Ta: 0.0000 0.5000 0.0000
Ta: 0.5000 0.0000 0.0000
Hg: 0.0000 0.0000 0.0000
Os: 0.5000 0.5000 0.5000

* uncorrected energy: -7.351 eV per atom
* ΔE_f: 2735.8 meV per atom
* total moment: 0.00 μB/f.u.

=====

[7]
The following is a DFT calculation (GGA-PBEsol) of a relaxed Tc2HgOs crystal.

a b c (Å): 2.8479 4.6150 9.4791
angles (deg): 90.00 90.00 90.00
Positions (direct):
Tc: 0.0000 0.0000 0.2317
Tc: 0.0000 0.0000 0.7683
Tc: 0.5000 0.5000 0.2317
Tc: 0.5000 0.5000 0.7683
Hg: 0.0000 0.5000 0.5000
Hg: 0.5000 0.0000 0.5000
Os: 0.0000 0.5000 0.0000
Os: 0.5000 0.0000 0.0000

* uncorrected energy: -8.227 eV per atom
* ΔE_f: 601.9 meV per atom
* total moment: 0.00 μB/f.u.

=====

[8]
The following is a DFT calculation (GGA-PBEsol) of a relaxed Tc2HgOs crystal.

a b c (Å): 3.8628 3.8628 8.0894
angles (deg): 90.00 90.00 90.00
Positions (direct):
Tc: 0.0000 0.0000 0.0000
Tc: 0.0000 0.5000 0.2500
Tc: 0.5000 0.0000 0.7500
Tc: 0.5000 0.5000 0.5000
Hg: 0.0000 0.0000 0.5000
Hg: 0.5000 0.5000 0.0000
Os: 0.0000 0.5000 0.7500
Os: 0.5000 0.0000 0.2500

* uncorrected energy: -8.235 eV per atom
* ΔE_f: 594.1 meV per atom
* total moment: 0.00 μB/f.u.

=====

[9]
The following is a DFT calculation (GGA-PBEsol) of a relaxed Hg2TeOs crystal.

a b c (Å): 3.0624 4.5956 12.8042
angles (deg): 90.00 90.00 90.00
Positions (direct):
Hg: 0.0000 0.0000 0.0000
Hg: 0.0000 0.5000 0.1652
Hg: 0.5000 0.0000 0.6652
Hg: 0.5000 0.5000 0.5000
Te: 0.0000 0.5000 0.8113
Te: 0.5000 0.0000 0.3113
Os: 0.0000 0.0000 0.4763
Os: 0.5000 0.5000 0.9763

* uncorrected energy: -3.782 eV per atom
* uncorrected formation energy: 0.437 eV per atom
* total moment: 0.00 μB/f.u.

=====

[10]
The following is a DFT calculation (GGA-PBEsol) of a relaxed Hg2TeOs crystal.

a b c (Å): 2.9946 2.9946 32.4157
angles (deg): 90.00 90.00 120.00
Positions (direct):
Hg: 0.0000 0.0000 0.2367
Hg: 0.0000 0.0000 0.7633
Hg: 0.3333 0.6667 0.4299
Hg: 0.3333 0.6667 0.9034
Hg: 0.6667 0.3333 0.0966
Hg: 0.6667 0.3333 0.5701
Te: 0.0000 0.0000 0.0000
Te: 0.3333 0.6667 0.6667
Te: 0.6667 0.3333 0.3333
Os: 0.0000 0.0000 0.5000
Os: 0.3333 0.6667 0.1667
Os: 0.6667 0.3333 0.8333

* uncorrected energy: -3.455 eV per atom
* uncorrected formation energy: 0.764 eV per atom
* total moment: 0.78 μB/f.u.

=====

[11]
The following is a DFT calculation (GGA-PBEsol) of a relaxed Hg2TeOs crystal.

a b c (Å): 3.0425 4.3436 6.1004
angles (deg): 90.00 90.00 90.00
Positions (direct):
Hg: 0.0000 0.0000 0.2229
Hg: 0.0000 0.0000 0.7771
Te: 0.5000 0.5000 0.5000
Os: 0.5000 0.5000 0.0000

* uncorrected energy: -3.338 eV per atom
* uncorrected formation energy: 0.881 eV per atom
* total moment: 0.91 μB/f.u.

=====

[12]
The following is a DFT calculation (GGA-PBEsol) of a relaxed HgTeOs crystal.

a b c (Å): 3.0391 5.2841 15.4582
angles (deg): 90.00 90.00 90.00
Positions (direct):
Hg: 0.0000 0.0000 0.0000
Hg: 0.0000 0.5000 0.5000
Hg: 0.5000 0.0000 0.5000
Hg: 0.5000 0.5000 0.0000
Te: 0.0000 0.0000 0.2906
Te: 0.0000 0.5000 0.7906
Te: 0.5000 0.0000 0.7906
Te: 0.5000 0.5000 0.2906
Os: 0.0000 0.0000 0.6539
Os: 0.0000 0.5000 0.1539
Os: 0.5000 0.0000 0.1539
Os: 0.5000 0.5000 0.6539

* uncorrected energy: -4.665 eV per atom
* uncorrected formation energy: 0.771 eV per atom
* total moment: 0.00 μB/f.u.